Compound: CeB2W
Source: Alexandria via LeMat-Bulk
Functional: PBE
Structure: optimized geometry

POSCAR file:
```
CeB2W
1.0
3.2921 0.0000 0.0000
1.6461 2.8511 0.0000
1.6461 0.9504 6.0835
B W Ce
2 1 1
Cartesian
4.9382 2.8511 4.8632 B
1.6461 0.9504 1.2203 B
0.0000 0.0000 0.0000 W
3.2921 1.9007 3.0417 Ce
```

* E_form: -31.2 meV per atom
* theoretical density: 10.0 Mg/m³
* D(E_F): 0.8396 states/eV/atom
* spin magnetization: 0.0 Bohr magnetons per cell